DFT (GGA+U) results for an optimized crystal structure of Sr3V2O7.

Values from the calculation:
VASP energy: -85.3 eV/cell
SG: I4/mmm (139)
V: 157.8 Å³/f.u.

a b c (Å): 10.353 10.353 10.353
angles (deg): 157.84 157.84 31.54
Fractional coordinates of all 12 atoms:
Sr 0.000 0.000 0.000
Sr 0.180 0.180 0.000
Sr 0.820 0.820 0.000
V 0.402 0.402 0.000
V 0.598 0.598 0.000
O 0.096 0.596 0.500
O 0.307 0.307 0.000
O 0.404 0.904 0.500
O 0.500 0.500 0.000
O 0.596 0.096 0.500
O 0.693 0.693 0.000
O 0.904 0.404 0.500